First-principles (PBE) data for Na4Cd6Sn after structural relaxation, as listed in the Alexandria database.

Structure (CIF):
```
data_Na4Cd6Sn
_chemical_formula_sum 'Na8 Cd12 Sn2'
_cell_length_a 6.3450
_cell_length_b 6.3450
_cell_length_c 15.2630
_cell_angle_alpha 90.00
_cell_angle_beta 90.00
_cell_angle_gamma 90.00
_space_group_name_H-M_alt 'I -4 2 m'
_space_group_IT_number 121
_space_group_name_Hall 'I -4 2'
loop_
_atom_site_label
_atom_site_fract_x
_atom_site_fract_y
_atom_site_fract_z
Na1 0.1996 0.1996 0.1777
Cd1 0.0000 0.5000 0.0000
Cd2 0.1702 0.1702 0.3876
Sn1 0.0000 0.0000 0.0000
```

Output
The magnetic moment is 0.00 μB/cell. The value obtained for the energy relative to the elements is -0.0425 eV/atom. The value obtained for the density of states at the Fermi level is 0.316 states/eV per atom.

First-principles (PBE) data for Na2CdSn4 after structural relaxation, as listed in the Alexandria database.

Structure (CIF):
```
data_Na2CdSn4
_chemical_formula_sum 'Na4 Cd2 Sn8'
_cell_length_a 6.7558
_cell_length_b 6.8482
_cell_length_c 9.4531
_cell_angle_alpha 90.00
_cell_angle_beta 109.92
_cell_angle_gamma 90.00
_space_group_name_H-M_alt 'P 1 21/m 1'
_space_group_IT_number 11
loop_
_space_group_symop_operation_xyz
'x,y,z'
'-x,-y,-z'
'-x,y+1/2,-z'
'x,-y+1/2,z'
loop_
_atom_site_label
_atom_site_fract_x
_atom_site_fract_y
_atom_site_fract_z
Na1 0.1636 0.2500 0.4793
Na2 0.1650 0.2500 0.0944
Cd1 0.1365 0.7500 0.3054
Sn1 0.2428 0.5089 0.8098
Sn2 0.3692 0.7500 0.0998
Sn3 0.4113 0.7500 0.6123
```

Output
The magnetic moment is 0.00 μB/cell. The value obtained for the energy relative to the elements is -0.0963 eV/atom. The value obtained for the density of states at the Fermi level is 0.365 states/eV per atom.

Which value of magnetic moment does entry 2 give? 0.00 μB/cell